Below is LiMn2O2 after structural relaxation, with properties calculated at the PBE+U level.

crystal system	monoclinic
total moment	36.25	Bohr magnetons per cell
D(E_F)	3.35	states/eV/cell
E above lowest polymorph	0	meV/atom

CIF file:
```
data_LiMn2O2
_chemical_formula_sum 'Li4 Mn8 O8'
_cell_length_a 7.544
_cell_length_b 5.997
_cell_length_c 5.447
_cell_angle_alpha 90.00
_cell_angle_beta 95.29
_cell_angle_gamma 90.00
_symmetry_space_group_name_H-M 'P 1 21/c 1'
_symmetry_Int_Tables_number 14
loop_
_symmetry_equiv_pos_as_xyz
'x,y,z'
'-x,-y,-z'
'-x,y+1/2,-z+1/2'
'x,-y+1/2,z+1/2'
loop_
_atom_site_label
_atom_site_fract_x
_atom_site_fract_y
_atom_site_fract_z
_atom_site_occupancy
Li1 0.135 0.138 0.425 1
Mn1 0.159 0.623 0.431 1
Mn2 0.490 0.125 0.751 1
O1 0.013 0.624 0.753 1
O2 0.346 0.121 0.081 1
```

***

Below is Li4Mn13O24 after structural relaxation, with properties calculated at the PBE+U level.

crystal system	triclinic
total moment	8.96	Bohr magnetons per cell
total energy	-289.16	eV/f.u.

CIF file:
```
data_Li4Mn13O24
_chemical_formula_sum 'Li4 Mn13 O24'
_cell_length_a 6.031
_cell_length_b 8.360
_cell_length_c 10.245
_cell_angle_alpha 113.93
_cell_angle_beta 105.07
_cell_angle_gamma 90.30
_symmetry_space_group_name_H-M 'P 1'
_symmetry_Int_Tables_number 1
loop_
_symmetry_equiv_pos_as_xyz
'x,y,z'
loop_
_atom_site_label
_atom_site_fract_x
_atom_site_fract_y
_atom_site_fract_z
_atom_site_occupancy
Li1 0.000 0.000 0.000 1
Li2 0.141 0.421 0.330 1
Li3 0.503 0.759 0.002 1
Li4 0.673 0.671 0.334 1
Mn1 0.084 0.716 0.172 1
Mn2 0.087 0.715 0.667 1
Mn3 0.247 0.879 0.501 1
Mn4 0.256 0.387 0.010 1
Mn5 0.346 0.337 0.672 1
Mn6 0.405 0.046 0.328 1
Mn7 0.420 0.039 0.832 1
Mn8 0.561 0.201 0.157 1
Mn9 0.588 0.714 0.663 1
Mn10 0.741 0.380 0.492 1
Mn11 0.761 0.381 0.006 1
Mn12 0.901 0.045 0.329 1
Mn13 0.936 0.562 0.844 1
O1 0.052 0.485 0.165 1
O2 0.075 0.487 0.673 1
O3 0.094 0.959 0.189 1
O4 0.124 0.951 0.671 1
O5 0.234 0.654 0.508 1
O6 0.255 0.105 0.486 1
O7 0.256 0.629 0.029 1
O8 0.276 0.140 0.996 1
O9 0.382 0.810 0.334 1
O10 0.398 0.797 0.810 1
O11 0.406 0.269 0.313 1
O12 0.457 0.279 0.850 1
O13 0.540 0.945 0.660 1
O14 0.550 0.982 0.173 1
O15 0.571 0.431 0.151 1
O16 0.605 0.480 0.657 1
O17 0.702 0.112 0.996 1
O18 0.712 0.133 0.467 1
O19 0.777 0.630 0.520 1
O20 0.800 0.651 0.014 1
O21 0.861 0.274 0.316 1
O22 0.936 0.780 0.820 1
O23 0.947 0.341 0.869 1
O24 0.948 0.815 0.340 1
```

***

Below is Li7Mn5O12 after structural relaxation, with properties calculated at the PBE+U level.

crystal system	monoclinic
total moment	36.00	Bohr magnetons per cell
E above lowest polymorph	6	meV/atom

CIF file:
```
data_Li7Mn5O12
_chemical_formula_sum 'Li14 Mn10 O24'
_cell_length_a 9.744
_cell_length_b 8.617
_cell_length_c 5.319
_cell_angle_alpha 90.00
_cell_angle_beta 96.50
_cell_angle_gamma 90.00
_symmetry_space_group_name_H-M 'C 1 2/m 1'
_symmetry_Int_Tables_number 12
loop_
_symmetry_equiv_pos_as_xyz
'x,y,z'
'-x,-y,-z'
'-x,y,-z'
'x,-y,z'
'x+1/2,y+1/2,z'
'-x+1/2,-y+1/2,-z'
'-x+1/2,y+1/2,-z'
'x+1/2,-y+1/2,z'
loop_
_atom_site_label
_atom_site_fract_x
_atom_site_fract_y
_atom_site_fract_z
_atom_site_occupancy
Li1 0.000 0.000 0.000 1
Li2 0.239 0.000 0.764 1
Li3 0.245 0.335 0.733 1
Mn1 0.000 0.165 0.500 1
Mn2 0.000 0.330 0.000 1
Mn3 0.000 0.500 0.500 1
O1 0.106 0.174 0.839 1
O2 0.116 0.000 0.398 1
O3 0.116 0.332 0.390 1
O4 0.118 0.500 0.891 1
```

***

Below is LiMn4O8 after structural relaxation, with properties calculated at the PBE+U level.

crystal system	monoclinic
total moment	26.00	Bohr magnetons per cell
D(E_F)	0.53	states/eV/cell
E above lowest polymorph	0	meV/atom

CIF file:
```
data_LiMn4O8
_chemical_formula_sum 'Li2 Mn8 O16'
_cell_length_a 10.150
_cell_length_b 5.817
_cell_length_c 5.863
_cell_angle_alpha 90.00
_cell_angle_beta 122.64
_cell_angle_gamma 90.00
_symmetry_space_group_name_H-M 'C 1 m 1'
_symmetry_Int_Tables_number 8
loop_
_symmetry_equiv_pos_as_xyz
'x,y,z'
'x,-y,z'
'x+1/2,y+1/2,z'
'x+1/2,-y+1/2,z'
loop_
_atom_site_label
_atom_site_fract_x
_atom_site_fract_y
_atom_site_fract_z
_atom_site_occupancy
Li1 0.000 0.000 0.000 1
Mn1 0.132 0.252 0.636 1
Mn2 0.383 0.000 0.634 1
Mn3 0.384 0.000 0.138 1
O1 0.110 0.500 0.837 1
O2 0.129 0.000 0.849 1
O3 0.140 0.500 0.433 1
O4 0.152 0.000 0.430 1
O5 0.362 0.224 0.864 1
O6 0.406 0.221 0.412 1
```

***

Below is Li2MnO2 after structural relaxation, with properties calculated at the PBE+U level.

crystal system	trigonal
total moment	5.00	Bohr magnetons per cell
D(E_F)	0.00	states/eV/cell
E above lowest polymorph	0	meV/atom

CIF file:
```
data_Li2MnO2
_chemical_formula_sum 'Li2 Mn1 O2'
_cell_length_a 3.2281
_cell_length_b 3.2281
_cell_length_c 5.3190
_cell_angle_alpha 90.00
_cell_angle_beta 90.00
_cell_angle_gamma 120.00
_symmetry_space_group_name_H-M 'P -3 m 1'
_symmetry_Int_Tables_number 164
_symmetry_space_group_name_Hall '-P 3 2"'
loop_
_atom_site_label
_atom_site_fract_x
_atom_site_fract_y
_atom_site_fract_z
_atom_site_occupancy
Li1 0.3333 0.6667 0.1304 1
Mn1 0.0000 0.0000 0.5000 1
O1 0.3333 0.6667 0.7463 1
```

***

Below is Li7Mn5O12 after structural relaxation, with properties calculated at the PBE+U level.

crystal system	triclinic
total moment	18.00	Bohr magnetons per cell
E above lowest polymorph	13	meV/atom

CIF file:
```
data_Li7Mn5O12
_chemical_formula_sum 'Li7 Mn5 O12'
_cell_length_a 5.305
_cell_length_b 6.063
_cell_length_c 7.830
_cell_angle_alpha 75.34
_cell_angle_beta 73.99
_cell_angle_gamma 68.68
_symmetry_space_group_name_H-M 'P 1'
_symmetry_Int_Tables_number 1
loop_
_symmetry_equiv_pos_as_xyz
'x,y,z'
loop_
_atom_site_label
_atom_site_fract_x
_atom_site_fract_y
_atom_site_fract_z
_atom_site_occupancy
Li1 0.000 0.000 0.000 1
Li2 0.005 0.682 0.321 1
Li3 0.018 0.534 0.006 1
Li4 0.026 0.860 0.672 1
Li5 0.033 0.178 0.326 1
Li6 0.041 0.370 0.679 1
Li7 0.521 0.860 0.167 1
Mn1 0.520 0.525 0.498 1
Mn2 0.521 0.018 0.499 1
Mn3 0.524 0.188 0.841 1
Mn4 0.526 0.358 0.169 1
Mn5 0.530 0.697 0.841 1
O1 0.287 0.337 0.408 1
O2 0.290 0.011 0.743 1
O3 0.291 0.677 0.082 1
O4 0.296 0.509 0.743 1
O5 0.315 0.863 0.432 1
O6 0.318 0.217 0.085 1
O7 0.724 0.183 0.581 1
O8 0.735 0.506 0.257 1
O9 0.757 0.038 0.263 1
O10 0.760 0.704 0.589 1
O11 0.763 0.876 0.914 1
O12 0.764 0.375 0.931 1
```